Here is an optimized crystal structure of AuI2O from Alexandria. Energies are from PBE.

Cell: 4.9441 4.9441 4.9441 Å, 60.00 60.00 60.00°
Fractional coordinates of all 4 atoms:
O: 0.0000 0.0000 0.0000
I: 0.7500 0.7500 0.7500
I: 0.2500 0.2500 0.2500
Au: 0.5000 0.5000 0.5000

## Properties
- SG: Fm-3m (225)
- Uncorrected formation energy: 0.8334 eV/atom